DFT (PBE) results for NaCrAs2 after structural relaxation.

Values from the calculation:
Offset from the most stable computed form, meV per atom: 0.0
DFT total energy, eV for the cell shown: -21.0
ΔE_f, eV/f.u.: -0.742

POSCAR file:
```
NaCrAs2
1.0
-2.8500 1.4669 -0.1322
-2.5582 -1.3358 1.4012
-0.0936 3.9841 7.2999
As Na Cr
2 1 1
Direct
0.0664 0.0664 0.8008 As
0.2667 0.2667 0.1998 As
0.5004 0.5004 0.4987 Na
0.6664 0.6664 0.0007 Cr
```